Record 1
# PmAlGa2Au5

PmAlGa2Au5 after structural relaxation (PBE, Alexandria via LeMat-Bulk).

Structure (POSCAR):
```
PmAlGa2Au5
1.0
4.790 0.000 0.000
0.000 6.045 0.000
-2.395 -3.022 6.767
Pm Al Ga Au
1 1 2 5
direct
0.000 0.500 0.000
0.500 0.000 0.000
0.190 0.190 0.379
0.810 0.810 0.621
0.649 0.884 0.299
0.351 0.116 0.701
0.351 0.585 0.701
0.649 0.415 0.299
0.000 0.000 0.000
```

Results
symmetry = Immm
energy = -33.48 eV for the cell shown

Record 2
# Pm2Al4GaAu3

Pm2Al4GaAu3 after structural relaxation (PBE, Alexandria via LeMat-Bulk).

Structure (POSCAR):
```
Pm2Al4GaAu3
1.0
-1.146 3.792 -1.868
0.075 -1.916 -3.937
-10.180 -2.558 1.051
Pm Al Ga Au
2 4 1 3
direct
0.500 0.000 0.253
0.000 0.500 0.747
0.500 0.500 0.000
0.000 0.000 0.000
0.500 0.000 0.635
0.000 0.500 0.365
0.500 0.500 0.500
0.000 0.000 0.500
0.500 0.000 0.870
0.000 0.500 0.130
```

Results
symmetry = P-4m2
energy = -44.36 eV for the cell shown

Record 3
# Pm2AlGa6Au

Pm2AlGa6Au after structural relaxation (PBE, Alexandria via LeMat-Bulk).

Structure (POSCAR):
```
Pm2AlGa6Au
1.0
-0.171 -3.691 -5.034
3.678 -5.038 -0.304
-8.140 -10.040 3.765
Pm Al Ga Au
4 2 12 2
direct
0.872 0.872 0.383
0.128 0.128 0.617
0.685 0.685 0.945
0.315 0.315 0.055
0.000 0.000 0.000
0.500 0.500 0.500
0.941 0.339 0.382
0.339 0.941 0.382
0.339 0.339 0.382
0.059 0.661 0.618
0.661 0.059 0.618
0.661 0.661 0.618
0.744 0.204 0.848
0.204 0.744 0.848
0.204 0.204 0.848
0.256 0.796 0.152
0.796 0.256 0.152
0.796 0.796 0.152
0.573 0.573 0.281
0.427 0.427 0.719
```

Results
symmetry = R-3m
energy = -74.86 eV for the cell shown

no.,energy relative to the elements (kJ/mol of atoms)
1,-27.3
2,-67.8
3,-26.5